Entry 1:
A relaxed structure of Er8Te2Ru. Source: Alexandria, functional PBE-GGA.

## Properties
**Density**: 8.8 g/cm³
**Final energy**: -5.230 eV/atom

Structure (POSCAR):
```
Er8Te2Ru
1.0
10.1517 -2.0268 0.0000
10.1517 2.0268 0.0000
-0.1785 0.0000 7.7673
Er Te Ru
8 2 1
direct
0.0048 0.0048 0.2248
0.2211 0.2211 0.6835
0.3686 0.3686 0.0109
0.4083 0.4083 0.4605
0.5917 0.5917 0.5395
0.6314 0.6314 0.9891
0.7789 0.7789 0.3165
0.9952 0.9952 0.7752
0.1635 0.1635 0.3015
0.8365 0.8365 0.6985
0.5000 0.5000 0.0000
```

=====

Entry 2:
A relaxed structure of Er4TeRu. Source: Alexandria, functional PBE-GGA.

## Properties
**Density**: 7.3 g/cm³
**E above lowest polymorph**: 278 meV/atom

Structure (POSCAR):
```
Er4TeRu
1.0
8.8526 -2.6267 0.0000
8.8526 2.6267 0.0000
-3.1615 0.0000 8.8308
Er Te Ru
8 2 2
direct
0.0161 0.0161 0.2417
0.1999 0.1999 0.9032
0.2360 0.2360 0.3016
0.3992 0.3992 0.9653
0.6008 0.6008 0.0347
0.7640 0.7640 0.6984
0.8001 0.8001 0.0968
0.9839 0.9839 0.7583
0.1573 0.1573 0.5544
0.8427 0.8427 0.4456
0.0945 0.0945 0.0498
0.9055 0.9055 0.9502
```

=====

Entry 3:
A relaxed structure of Er5Te5Ru. Source: Alexandria, functional PBE-GGA.

## Properties
**Density**: 7.9 g/cm³
**Final energy**: -5.448 eV/atom

Structure (POSCAR):
```
Er5Te5Ru
1.0
6.8298 -3.0335 0.0000
6.8298 3.0335 0.0000
-2.7740 0.0000 8.0419
Er Te Ru
5 5 1
direct
0.0000 0.0000 0.0000
0.3534 0.3534 0.1492
0.3527 0.3527 0.6959
0.6473 0.6473 0.3041
0.6466 0.6466 0.8508
0.1665 0.1665 0.8247
0.1815 0.1815 0.3332
0.5000 0.5000 0.5000
0.8185 0.8185 0.6668
0.8335 0.8335 0.1753
0.5000 0.5000 0.0000
```

=====

Entry 4:
A relaxed structure of Er4TeRu. Source: Alexandria, functional PBE-GGA.

## Properties
**Density**: 9.6 g/cm³
**E above lowest polymorph**: 0 meV/atom

Structure (POSCAR):
```
Er4TeRu
1.0
8.0294 0.0000 0.0000
0.0000 3.9985 0.0000
0.0000 0.0000 19.2970
Er Te Ru
16 4 4
direct
0.0019 0.2500 0.0675
0.0491 0.7500 0.2131
0.1364 0.7500 0.6435
0.1416 0.7500 0.4543
0.3584 0.2500 0.9543
0.3636 0.2500 0.1435
0.4509 0.2500 0.7131
0.4981 0.7500 0.5675
0.5019 0.2500 0.4325
0.5491 0.7500 0.2869
0.6364 0.7500 0.8565
0.6416 0.7500 0.0457
0.8584 0.2500 0.5457
0.8636 0.2500 0.3565
0.9509 0.2500 0.7869
0.9981 0.7500 0.9325
0.2457 0.2500 0.3082
0.2543 0.7500 0.8082
0.7457 0.2500 0.1918
0.7543 0.7500 0.6918
0.2453 0.2500 0.5510
0.2547 0.7500 0.0510
0.7453 0.2500 0.9490
0.7547 0.7500 0.4490
```

=====

Entry 5:
A relaxed structure of Er8Te2Ru3. Source: Alexandria, functional PBE-GGA.

## Properties
**Density**: 9.0 g/cm³
**Final energy**: -6.008 eV/atom

Structure (POSCAR):
```
Er8Te2Ru3
1.0
8.9781 0.0000 0.0000
0.0000 4.8039 0.0000
-3.7687 0.0000 8.1493
Er Te Ru
8 2 3
direct
0.1044 0.0000 0.3955
0.1494 0.5000 0.8626
0.3620 0.5000 0.6497
0.3913 0.0000 0.1089
0.6087 0.0000 0.8911
0.6380 0.5000 0.3503
0.8506 0.5000 0.1374
0.8956 0.0000 0.6045
0.2419 0.5000 0.2588
0.7581 0.5000 0.7412
0.2511 0.0000 0.7513
0.5000 0.5000 0.0000
0.7489 0.0000 0.2487
```

=====

Entry 6:
A relaxed structure of Er2TeRu. Source: Alexandria, functional PBE-GGA.

## Properties
**Density**: 10.1 g/cm³
**E above lowest polymorph**: 0 meV/atom

Structure (POSCAR):
```
Er2TeRu
1.0
3.5409 0.0000 0.0000
0.0000 3.5409 0.0000
0.0000 0.0000 7.3878
Er Te Ru
2 1 1
direct
0.0000 0.0000 0.2207
0.0000 0.0000 0.7793
0.5000 0.5000 0.5000
0.5000 0.5000 0.0000
```

=====

Entry 7:
A relaxed structure of ErTeRu. Source: Alexandria, functional PBE-GGA.

## Properties
**Density**: 8.7 g/cm³
**Final energy**: -5.945 eV/atom

Structure (POSCAR):
```
ErTeRu
1.0
8.0650 0.0000 0.0000
0.0000 8.0650 0.0000
0.0000 0.0000 4.6722
Er Te Ru
4 4 4
direct
0.0932 0.7104 0.0000
0.2896 0.0932 0.5000
0.7104 0.9068 0.5000
0.9068 0.2896 0.0000
0.1940 0.4644 0.5000
0.4644 0.8060 0.0000
0.5356 0.1940 0.0000
0.8060 0.5356 0.5000
0.2440 0.3365 0.0000
0.3365 0.7560 0.5000
0.6635 0.2440 0.5000
0.7560 0.6635 0.0000
```

=====

Entry 8:
A relaxed structure of Er3ThRu. Source: Alexandria, functional PBE-GGA.

## Properties
**Density**: 9.4 g/cm³
**DFT formation energy**: -0.66 eV/f.u.

Structure (POSCAR):
```
Er3ThRu
1.0
3.7996 -6.2554 0.0000
3.7996 6.2554 0.0000
0.0000 0.0000 6.2292
Er Th Ru
6 2 2
direct
0.0823 0.9177 0.5000
0.0945 0.4052 0.5175
0.4052 0.0945 0.0175
0.5948 0.9055 0.5175
0.9055 0.5948 0.0175
0.9177 0.0823 0.0000
0.4159 0.5841 0.0409
0.5841 0.4159 0.5409
0.2549 0.7451 0.7767
0.7451 0.2549 0.2767
```

=====

Entry 9:
A relaxed structure of Er2ThRu3. Source: Alexandria, functional PBE-GGA.

## Properties
**Density**: 11.9 g/cm³
**E above lowest polymorph**: 0 meV/atom
**DFT formation energy**: -2.80 eV/f.u.

Structure (POSCAR):
```
Er2ThRu3
1.0
4.8517 0.0000 0.0000
-2.4258 4.2017 0.0000
0.0000 0.0000 5.9461
Er Th Ru
2 1 3
direct
0.3333 0.6667 0.1551
0.6667 0.3333 0.8449
0.0000 0.0000 0.5000
0.0000 0.0000 0.0000
0.3333 0.6667 0.6604
0.6667 0.3333 0.3396
```

=====

Entry 10:
A relaxed structure of Er2ThRu4. Source: Alexandria, functional PBE-GGA.

## Properties
**Density**: 11.1 g/cm³
**DFT formation energy**: 0.97 eV/f.u.

Structure (POSCAR):
```
Er2ThRu4
1.0
-3.3440 3.3440 3.2562
3.3440 -3.3440 3.2562
3.3440 3.3440 -3.2562
Er Th Ru
2 1 4
direct
0.0000 0.5000 0.5000
0.5000 0.0000 0.5000
0.0000 0.0000 0.0000
0.0000 0.0000 0.5000
0.0000 0.5000 0.0000
0.5000 0.0000 0.0000
0.5000 0.5000 0.5000
```

=====

Entry 11:
A relaxed structure of Er4ThRu5. Source: Alexandria, functional PBE-GGA.

## Properties
**Density**: 11.8 g/cm³
**DFT formation energy**: -4.13 eV/f.u.

Structure (POSCAR):
```
Er4ThRu5
1.0
3.4225 0.0000 0.0000
0.0000 3.4225 0.0000
0.0000 0.0000 16.9381
Er Th Ru
4 1 5
direct
0.0000 0.0000 0.0981
0.0000 0.0000 0.2932
0.0000 0.0000 0.7068
0.0000 0.0000 0.9019
0.0000 0.0000 0.5000
0.5000 0.5000 0.0000
0.5000 0.5000 0.1985
0.5000 0.5000 0.4025
0.5000 0.5000 0.5975
0.5000 0.5000 0.8015
```

=====

Entry 12:
A relaxed structure of Er5ThRu4. Source: Alexandria, functional PBE-GGA.

## Properties
**Density**: 10.5 g/cm³
**DFT formation energy**: -3.73 eV/f.u.

Structure (POSCAR):
```
Er5ThRu4
1.0
7.2114 -2.4133 0.0000
7.2114 2.4133 0.0000
-0.2345 0.0000 6.6966
Er Th Ru
5 1 4
direct
0.0000 0.0000 0.0000
0.3290 0.3290 0.5016
0.3335 0.3335 0.0009
0.6665 0.6665 0.9991
0.6710 0.6710 0.4984
0.0000 0.0000 0.5000
0.1592 0.1592 0.7441
0.5001 0.5001 0.2579
0.4999 0.4999 0.7421
0.8408 0.8408 0.2559
```